A geometry-optimized Y2PtPb structure. Source: Alexandria, functional GGA-PBEsol.

Space-group type   C2/m (12)
ΔH_f (0 K)   -0.74 eV per atom

Lattice parameters (Å, degrees): 3.876 3.868 8.503 103.27 90.00 120.07
Fractional coordinates of all 4 atoms:
Pb  0.000  0.000  0.500
Pt  0.500  0.000  0.000
Y  0.766  0.533  0.799
Y  0.234  0.467  0.201

---

A geometry-optimized Ba2LiAlC4N8 structure. Source: Alexandria, functional GGA-PBEsol.

Space-group type   P2_12_12_1 (19)
Formation energy (no corrections)   -743 meV/atom

Lattice parameters (Å, degrees): 6.869 11.747 11.821 90.00 90.00 90.00
Fractional coordinates of all 64 atoms:
Al  0.525  0.122  0.334
Al  0.975  0.878  0.834
Al  0.475  0.622  0.166
Al  0.025  0.378  0.666
Ba  0.784  0.121  0.594
Ba  0.716  0.879  0.094
Ba  0.216  0.621  0.906
Ba  0.284  0.379  0.406
Ba  0.793  0.622  0.413
Ba  0.707  0.378  0.913
Ba  0.207  0.122  0.087
Ba  0.293  0.878  0.587
C  0.721  0.171  0.141
C  0.779  0.829  0.641
C  0.279  0.671  0.359
C  0.221  0.329  0.859
C  0.659  0.918  0.378
C  0.841  0.082  0.878
C  0.341  0.418  0.122
C  0.159  0.582  0.622
C  0.157  0.076  0.390
C  0.343  0.924  0.890
C  0.843  0.576  0.110
C  0.657  0.424  0.610
C  0.766  0.321  0.365
C  0.734  0.679  0.865
C  0.234  0.821  0.135
C  0.266  0.179  0.635
Li  0.033  0.873  0.331
Li  0.467  0.127  0.831
Li  0.967  0.373  0.169
Li  0.533  0.627  0.669
N  0.645  0.248  0.397
N  0.855  0.752  0.897
N  0.355  0.748  0.103
N  0.145  0.252  0.603
N  0.259  0.144  0.334
N  0.241  0.856  0.834
N  0.741  0.644  0.166
N  0.759  0.356  0.666
N  0.571  0.998  0.427
N  0.929  0.002  0.927
N  0.429  0.498  0.073
N  0.071  0.502  0.573
N  0.607  0.101  0.185
N  0.893  0.899  0.685
N  0.393  0.601  0.315
N  0.107  0.399  0.815
N  0.834  0.237  0.097
N  0.666  0.763  0.597
N  0.166  0.737  0.403
N  0.334  0.263  0.903
N  0.056  0.010  0.443
N  0.444  0.990  0.943
N  0.944  0.510  0.057
N  0.556  0.490  0.557
N  0.742  0.841  0.329
N  0.758  0.159  0.829
N  0.258  0.341  0.171
N  0.242  0.659  0.671
N  0.881  0.395  0.337
N  0.619  0.605  0.837
N  0.119  0.895  0.163
N  0.381  0.105  0.663

---

A geometry-optimized ZnTe3As structure. Source: Alexandria, functional GGA-PBEsol.

Space-group type   Pm-3m (221)
Formation energy (no corrections)   588 meV/atom
ΔE to the lowest computed polymorph   0.000 eV/atom

Lattice parameters (Å, degrees): 5.343 5.343 5.343 90.00 90.00 90.00
Fractional coordinates of all 5 atoms:
As  0.000  0.000  0.000
Te  0.000  0.500  0.000
Te  0.000  0.000  0.500
Te  0.500  0.000  0.000
Zn  0.500  0.500  0.500

---

A geometry-optimized CdPSe structure. Source: Alexandria, functional GGA-PBEsol.

Space-group type   P-6m2 (187)
Formation energy (no corrections)   385 meV/atom
ΔE to the lowest computed polymorph   0.000 eV/atom

Lattice parameters (Å, degrees): 2.823 4.943 4.943 120.00 90.00 90.00
Fractional coordinates of all 3 atoms:
P  0.667  0.333  0.667
Se  0.666  0.667  0.333
Cd  0.668  0.000  0.000

---

Number 1: DOS at the Fermi energy 0.790 states/eV per atom. Number 2: DOS at the Fermi energy 0.000 states/eV per atom. Number 3: DOS at the Fermi energy 0.770 states/eV per atom. Number 4: DOS at the Fermi energy 0.505 states/eV per atom.